# KMgCrBr6

A geometry-optimized KMgCrBr6 structure (PBE, the Alexandria database).

The calculation puts the uncorrected formation energy at -1219 meV per atom. The crystal system is trigonal. The symmetry is No. 163.

Unit cell a=6.7926 b=6.7926 c=14.7666 alpha=90.00 beta=90.00 gamma=120.00
Closest atoms and distances in Å follow each position.
Atoms (fractional coordinates):
K 0.0000 0.0000 0.0000  6 Br 3.35
K 0.0000 0.0000 0.5000  6 Br 3.35
Mg 0.3333 0.6667 0.2500  6 Br 2.69
Mg 0.6667 0.3333 0.7500  6 Br 2.69
Cr 0.3333 0.6667 0.7500  6 Br 2.54
Cr 0.6667 0.3333 0.2500  6 Br 2.54
Br 0.0168 0.3780 0.6499  1 Cr 2.54, 1 Mg 2.69
Br 0.0168 0.6388 0.8501  1 Cr 2.54, 1 Mg 2.69
Br 0.3612 0.3780 0.8501  1 Cr 2.54, 1 Mg 2.69
Br 0.3612 0.9832 0.6499  1 Cr 2.54, 1 Mg 2.69
Br 0.3780 0.0168 0.1499  1 Cr 2.54, 1 Mg 2.69
Br 0.3780 0.3612 0.3501  1 Cr 2.54, 1 Mg 2.69
Br 0.6220 0.6388 0.6499  1 Cr 2.54, 1 Mg 2.69
Br 0.6220 0.9832 0.8501  1 Cr 2.54, 1 Mg 2.69
Br 0.6388 0.0168 0.3501  1 Cr 2.54, 1 Mg 2.69
Br 0.6388 0.6220 0.1499  1 Cr 2.54, 1 Mg 2.69
Br 0.9832 0.3612 0.1499  1 Cr 2.54, 1 Mg 2.69
Br 0.9832 0.6220 0.3501  1 Cr 2.54, 1 Mg 2.69

# AgH2O

A geometry-optimized AgH2O structure (PBE, the Alexandria database).

As for the energy above the most stable polymorph in this dataset: 0 meV per atom. The crystal system is triclinic. The symmetry is No. 2.

Unit cell a=2.7833 b=4.8885 c=7.9163 alpha=94.81 beta=93.92 gamma=91.09
Closest atoms and distances in Å follow each position.
Atoms (fractional coordinates):
Ag 0.2487 0.2479 0.4880  6 Ag 2.78-2.85, 1 H 3.11
Ag 0.7513 0.7521 0.5120  6 Ag 2.78-2.85, 1 H 3.11
H 0.1510 0.8050 0.9033  1 O 0.99
H 0.1654 0.4597 0.1272  1 O 0.98
H 0.8346 0.5403 0.8728  1 O 0.98
H 0.8490 0.1950 0.0967  1 O 0.99
O 0.1840 0.2636 0.0938  2 H 0.98-0.99
O 0.8160 0.7364 0.9062  2 H 0.98-0.99

# Ac3ZnNi3

A geometry-optimized Ac3ZnNi3 structure (PBE, the Alexandria database).

As for the energy of formation from the pure elements: -0.2603 eV per atom. As for the energy above the most stable polymorph in this dataset: 0 meV per atom. The crystal system is orthorhombic. The symmetry is No. 63.

Unit cell a=5.8920 b=5.8920 c=14.2009 alpha=90.00 beta=90.00 gamma=137.91
Closest atoms and distances in Å follow each position.
Atoms (fractional coordinates):
Ac 0.0070 0.9930 0.7500  7 Ni 3.02-3.34
Ac 0.2835 0.7165 0.6049  6 Ni 3.08-3.18
Ac 0.2835 0.7165 0.8951  6 Ni 3.08-3.18
Ac 0.7165 0.2835 0.1049  6 Ni 3.08-3.18
Ac 0.7165 0.2835 0.3951  6 Ni 3.08-3.18
Ac 0.9930 0.0070 0.2500  7 Ni 3.02-3.34
Zn 0.0000 0.0000 0.0000  4 Ni 2.55
Zn 0.0000 0.0000 0.5000  4 Ni 2.55
Ni 0.2965 0.7035 0.2500  2 Ni 2.78, 6 Ac 3.02-3.08
Ni 0.4303 0.5697 0.0840  2 Zn 2.55, 2 Ni 2.78-2.84
Ni 0.4303 0.5697 0.4160  2 Zn 2.55, 2 Ni 2.78-2.84
Ni 0.5697 0.4303 0.5840  2 Zn 2.55, 2 Ni 2.78-2.84
Ni 0.5697 0.4303 0.9160  2 Zn 2.55, 2 Ni 2.78-2.84
Ni 0.7035 0.2965 0.7500  2 Ni 2.78, 6 Ac 3.02-3.08

# LaZr2Cl

A geometry-optimized LaZr2Cl structure (PBE, the Alexandria database).

The calculation puts the uncorrected formation energy at -141 meV per atom. As for the energy above the most stable polymorph in this dataset: 246 meV per atom. The crystal system is tetragonal. The symmetry is No. 122.

Unit cell a=13.0165 b=13.0165 c=13.0165 alpha=161.90 beta=161.90 gamma=25.70
Closest atoms and distances in Å follow each position.
Atoms (fractional coordinates):
La 0.0000 0.0000 0.0000  4 Cl 2.90
La 0.7500 0.2500 0.5000  4 Cl 2.90
Zr 0.1226 0.6250 0.9976  4 Zr 2.88-2.91
Zr 0.3750 0.3726 0.4976  4 Zr 2.88-2.91
Zr 0.6274 0.1250 0.0024  4 Zr 2.88-2.91
Zr 0.8750 0.8774 0.5024  4 Zr 2.88-2.91
Cl 0.2500 0.7500 0.5000  4 La 2.90
Cl 0.5000 0.5000 0.0000  4 La 2.90

# AlCo2NiH

A geometry-optimized AlCo2NiH structure (PBE, the Alexandria database).

As for the energy above the most stable polymorph in this dataset: 128 meV per atom. The crystal system is tetragonal. The symmetry is No. 123.

Unit cell a=3.5112 b=3.5112 c=3.8488 alpha=90.00 beta=90.00 gamma=90.00
Closest atoms and distances in Å follow each position.
Atoms (fractional coordinates):
Al 0.0000 0.0000 0.0000  2 H 1.92
Co 0.0000 0.5000 0.5000  2 H 1.76
Co 0.5000 0.0000 0.5000  2 H 1.76
Ni 0.5000 0.5000 0.0000  4 Al 2.48, 8 Co 2.60
H 0.0000 0.0000 0.5000  4 Co 1.76, 2 Al 1.92

# Y2OsW

A geometry-optimized Y2OsW structure (PBE, the Alexandria database).

As for the energy of formation from the pure elements: 0.0490 eV per atom. As for the energy above the most stable polymorph in this dataset: 0 meV per atom. The crystal system is tetragonal. The symmetry is No. 99.

Unit cell a=3.1763 b=3.1763 c=8.9322 alpha=90.00 beta=90.00 gamma=90.00
Closest atoms and distances in Å follow each position.
Atoms (fractional coordinates):
Y 0.0000 0.0000 0.0000  4 W 3.12, 4 Y 3.18
Y 0.5000 0.5000 0.3737  4 Os 3.03, 4 Y 3.18
Os 0.0000 0.0000 0.6016  4 W 2.65
W 0.5000 0.5000 0.7582  4 Os 2.65

# SrZnP

A geometry-optimized SrZnP structure (PBE, the Alexandria database).

As for the energy of formation from the pure elements: -0.2496 eV per atom. The crystal system is cubic. The symmetry is No. 216.

Unit cell a=4.7098 b=4.7098 c=4.7098 alpha=60.00 beta=60.00 gamma=60.00
Closest atoms and distances in Å follow each position.
Atoms (fractional coordinates):
Sr 0.0000 0.0000 0.0000  4 Zn 2.88
Zn 0.2500 0.2500 0.2500  4 Sr 2.88, 4 P 2.88
P 0.5000 0.5000 0.5000  4 Zn 2.88

# NdYBeAg

A geometry-optimized NdYBeAg structure (PBE, the Alexandria database).

As for the energy of formation from the pure elements: -0.0248 eV per atom. The crystal system is cubic. The symmetry is No. 216.

Unit cell a=5.1114 b=5.1114 c=5.1114 alpha=60.00 beta=60.00 gamma=60.00
Closest atoms and distances in Å follow each position.
Atoms (fractional coordinates):
Nd 0.0000 0.0000 0.0000  4 Be 3.13, 4 Ag 3.13
Y 0.5000 0.5000 0.5000  4 Be 3.13, 4 Ag 3.13
Be 0.7500 0.7500 0.7500  4 Nd 3.13, 4 Y 3.13
Ag 0.2500 0.2500 0.2500  4 Nd 3.13, 4 Y 3.13

# HfNbPb

A geometry-optimized HfNbPb structure (PBE, the Alexandria database).

As for the energy of formation from the pure elements: 0.2731 eV per atom. As for the energy above the most stable polymorph in this dataset: 218 meV per atom. The crystal system is orthorhombic. The symmetry is No. 63.

Unit cell a=8.1194 b=8.1194 c=5.4595 alpha=90.00 beta=90.00 gamma=158.06
Closest atoms and distances in Å follow each position.
Atoms (fractional coordinates):
Hf 0.1646 0.8354 0.7500  2 Nb 2.96, 5 Pb 3.02-3.15, 2 Hf 3.09
Hf 0.8354 0.1646 0.2500  2 Nb 2.96, 5 Pb 3.02-3.15, 2 Hf 3.09
Nb 0.0000 0.0000 0.0000  2 Nb 2.73, 2 Hf 2.96
Nb 0.0000 0.0000 0.5000  2 Nb 2.73, 2 Hf 2.96
Pb 0.3539 0.6461 0.7500  5 Hf 3.02-3.15, 2 Pb 3.09, 4 Nb 3.11
Pb 0.6461 0.3539 0.2500  5 Hf 3.02-3.15, 2 Pb 3.09, 4 Nb 3.11

# ZrZnCo2

A geometry-optimized ZrZnCo2 structure (PBE, the Alexandria database).

As for the energy of formation from the pure elements: 0.4819 eV per atom. The crystal system is orthorhombic. The symmetry is No. 71.

Unit cell a=5.6565 b=5.6565 c=5.6565 alpha=152.78 beta=130.70 gamma=57.22
Closest atoms and distances in Å follow each position.
Atoms (fractional coordinates):
Zr 0.0000 0.0000 0.0000  2 Co 2.62, 2 Zr 2.66, 4 Zn 2.71
Zn 0.5000 0.5000 0.0000  2 Co 2.35
Co 0.2636 0.2636 0.0000  1 Zn 2.35, 1 Zr 2.62
Co 0.7364 0.7364 0.0000  1 Zn 2.35, 1 Zr 2.62

# CsSrPdN2

A geometry-optimized CsSrPdN2 structure (PBE, the Alexandria database).

The calculation puts the uncorrected formation energy at 1355 meV per atom. The crystal system is tetragonal. The symmetry is No. 123.

Unit cell a=4.5783 b=4.5783 c=5.0841 alpha=90.00 beta=90.00 gamma=90.00
Closest atoms and distances in Å follow each position.
Atoms (fractional coordinates):
Cs 0.0000 0.0000 0.0000  2 Pd 2.54
Sr 0.5000 0.5000 0.0000  4 Cs 3.24, 8 N 3.42
Pd 0.0000 0.0000 0.5000  4 N 2.29, 2 Cs 2.54
N 0.0000 0.5000 0.5000  2 Pd 2.29
N 0.5000 0.0000 0.5000  2 Pd 2.29

# CaBeBr2

A geometry-optimized CaBeBr2 structure (PBE, the Alexandria database).

The calculation puts the uncorrected formation energy at -491 meV per atom. As for the energy above the most stable polymorph in this dataset: 309 meV per atom. The crystal system is cubic. The symmetry is No. 225.

Unit cell a=5.2267 b=5.2267 c=5.2267 alpha=60.00 beta=60.00 gamma=60.00
Closest atoms and distances in Å follow each position.
Atoms (fractional coordinates):
Ca 0.0000 0.0000 0.0000  8 Br 3.20
Be 0.5000 0.5000 0.5000  8 Br 3.20
Br 0.2500 0.2500 0.2500  4 Ca 3.20, 4 Be 3.20
Br 0.7500 0.7500 0.7500  4 Ca 3.20, 4 Be 3.20

# Ca5CdHg4

A geometry-optimized Ca5CdHg4 structure (PBE, the Alexandria database).

As for the energy of formation from the pure elements: -0.5115 eV per atom. The crystal system is tetragonal. The symmetry is No. 123.

Unit cell a=3.7651 b=3.7651 c=19.3160 alpha=90.00 beta=90.00 gamma=90.00
Closest atoms and distances in Å follow each position.
Atoms (fractional coordinates):
Ca 0.0000 0.0000 0.0000  8 Hg 3.28
Ca 0.0000 0.0000 0.1989  8 Hg 3.28-3.29
Ca 0.0000 0.0000 0.3967  4 Hg 3.26, 4 Cd 3.33
Ca 0.0000 0.0000 0.6033  4 Hg 3.26, 4 Cd 3.33
Ca 0.0000 0.0000 0.8011  8 Hg 3.28-3.29
Cd 0.5000 0.5000 0.5000  8 Ca 3.33
Hg 0.5000 0.5000 0.0994  8 Ca 3.28
Hg 0.5000 0.5000 0.2993  8 Ca 3.26-3.29
Hg 0.5000 0.5000 0.7007  8 Ca 3.26-3.29
Hg 0.5000 0.5000 0.9006  8 Ca 3.28

# NaTaBeSi2

A geometry-optimized NaTaBeSi2 structure (PBE, the Alexandria database).

The calculation puts the uncorrected formation energy at 1003 meV per atom. The crystal system is tetragonal. The symmetry is No. 123.

Unit cell a=4.3298 b=4.3298 c=4.2614 alpha=90.00 beta=90.00 gamma=90.00
Closest atoms and distances in Å follow each position.
Atoms (fractional coordinates):
Na 0.0000 0.0000 0.0000  2 Be 2.13
Ta 0.5000 0.5000 0.0000  8 Si 3.04, 4 Na 3.06
Be 0.0000 0.0000 0.5000  2 Na 2.13, 4 Si 2.16
Si 0.0000 0.5000 0.5000  2 Be 2.16
Si 0.5000 0.0000 0.5000  2 Be 2.16

# UNiMo

A geometry-optimized UNiMo structure (PBE, the Alexandria database).

As for the energy of formation from the pure elements: 0.1874 eV per atom. The crystal system is tetragonal. The symmetry is No. 107.

Unit cell a=4.7689 b=4.7689 c=4.7689 alpha=136.25 beta=136.25 gamma=63.60
Closest atoms and distances in Å follow each position.
Atoms (fractional coordinates):
U 0.0000 0.0000 0.0000  1 Mo 2.38
Ni 0.6526 0.6526 0.0000  5 Mo 2.76-2.91, 5 U 2.80-2.82
Mo 0.2935 0.2935 0.0000  1 U 2.38

# Ce3SnI3

A geometry-optimized Ce3SnI3 structure (PBE, the Alexandria database).

The calculation puts the uncorrected formation energy at -976 meV per atom. The crystal system is cubic. The symmetry is No. 214.

Unit cell a=11.0533 b=11.0533 c=11.0533 alpha=109.47 beta=109.47 gamma=109.47
Closest atoms and distances in Å follow each position.
Atoms (fractional coordinates):
Ce 0.0065 0.0129 0.2565  2 Sn 3.11, 4 I 3.28
Ce 0.0065 0.4935 0.7500  2 Sn 3.11, 4 I 3.28
Ce 0.0129 0.2565 0.0065  2 Sn 3.11, 4 I 3.28
Ce 0.2435 0.2565 0.7500  2 Sn 3.11, 4 I 3.28
Ce 0.2435 0.4871 0.4935  2 Sn 3.11, 4 I 3.28
Ce 0.2565 0.0065 0.0129  2 Sn 3.11, 4 I 3.28
Ce 0.2565 0.7500 0.2435  2 Sn 3.11, 4 I 3.28
Ce 0.4871 0.4935 0.2435  2 Sn 3.11, 4 I 3.28
Ce 0.4935 0.2435 0.4871  2 Sn 3.11, 4 I 3.28
Ce 0.4935 0.7500 0.0065  2 Sn 3.11, 4 I 3.28
Ce 0.7500 0.0065 0.4935  2 Sn 3.11, 4 I 3.28
Ce 0.7500 0.2435 0.2565  2 Sn 3.11, 4 I 3.28
Sn 0.0000 0.2500 0.5000  6 Ce 3.11
Sn 0.2500 0.2500 0.2500  6 Ce 3.11
Sn 0.2500 0.5000 0.0000  6 Ce 3.11
Sn 0.5000 0.0000 0.2500  6 Ce 3.11
I 0.2500 0.7566 0.7434  4 Ce 3.28
I 0.2500 0.9934 0.5066  4 Ce 3.28
I 0.5066 0.2500 0.9934  4 Ce 3.28
I 0.5066 0.7566 0.5132  4 Ce 3.28
I 0.5132 0.5066 0.7566  4 Ce 3.28
I 0.7434 0.2500 0.7566  4 Ce 3.28
I 0.7434 0.9934 0.9868  4 Ce 3.28
I 0.7566 0.5132 0.5066  4 Ce 3.28
I 0.7566 0.7434 0.2500  4 Ce 3.28
I 0.9868 0.7434 0.9934  4 Ce 3.28
I 0.9934 0.5066 0.2500  4 Ce 3.28
I 0.9934 0.9868 0.7434  4 Ce 3.28

# LaY2Cl

A geometry-optimized LaY2Cl structure (PBE, the Alexandria database).

The calculation puts the uncorrected formation energy at 36 meV per atom. As for the energy above the most stable polymorph in this dataset: 707 meV per atom. The crystal system is cubic. The symmetry is No. 216.

Unit cell a=5.5962 b=5.5962 c=5.5962 alpha=60.00 beta=60.00 gamma=60.00
Closest atoms and distances in Å follow each position.
Atoms (fractional coordinates):
La 0.0000 0.0000 0.0000  4 Cl 3.43, 4 Y 3.43
Y 0.2500 0.2500 0.2500  4 Y 3.43, 4 La 3.43
Y 0.5000 0.5000 0.5000  4 Y 3.43, 4 Cl 3.43
Cl 0.7500 0.7500 0.7500  4 Y 3.43, 4 La 3.43

# BaSr3H3

A geometry-optimized BaSr3H3 structure (PBE, the Alexandria database).

The value obtained for the total energy is -36.89 eV per cell. The crystal system is trigonal. The symmetry is No. 148.

Unit cell a=11.5002 b=11.5002 c=11.5002 alpha=36.21 beta=36.21 gamma=36.21
Closest atoms and distances in Å follow each position.
Atoms (fractional coordinates):
Ba 0.1666 0.1666 0.1666  3 Ba 4.13, 6 Sr 4.47
Ba 0.8334 0.8334 0.8334  3 Ba 4.13, 6 Sr 4.47
Sr 0.0493 0.7158 0.3828  4 H 2.46-2.50
Sr 0.2842 0.6172 0.9507  4 H 2.46-2.50
Sr 0.3828 0.0493 0.7158  4 H 2.46-2.50
Sr 0.6172 0.9507 0.2842  4 H 2.46-2.50
Sr 0.7158 0.3828 0.0493  4 H 2.46-2.50
Sr 0.9507 0.2842 0.6172  4 H 2.46-2.50
H 0.0281 0.3599 0.6928  4 Sr 2.46-2.50
H 0.3072 0.9719 0.6401  4 Sr 2.46-2.50
H 0.3599 0.6928 0.0280  4 Sr 2.46-2.50
H 0.6401 0.3072 0.9720  4 Sr 2.46-2.50
H 0.6928 0.0280 0.3599  4 Sr 2.46-2.50
H 0.9720 0.6401 0.3072  4 Sr 2.46-2.50

# TiTl3Fe

A geometry-optimized TiTl3Fe structure (PBE, the Alexandria database).

As for the energy of formation from the pure elements: 1.0832 eV per atom. As for the energy above the most stable polymorph in this dataset: 180 meV per atom. The crystal system is cubic. The symmetry is No. 221.

Unit cell a=5.3805 b=5.3805 c=5.3805 alpha=90.00 beta=90.00 gamma=90.00
Closest atoms and distances in Å follow each position.
Atoms (fractional coordinates):
Ti 0.0000 0.0000 0.0000  6 Tl 2.69
Tl 0.0000 0.0000 0.5000  2 Ti 2.69
Tl 0.0000 0.5000 0.0000  2 Ti 2.69
Tl 0.5000 0.0000 0.0000  2 Ti 2.69
Fe 0.5000 0.5000 0.5000  12 Tl 3.80

# ScGeAu2F

A geometry-optimized ScGeAu2F structure (PBE, the Alexandria database).

The calculation puts the uncorrected formation energy at -556 meV per atom. The crystal system is tetragonal. The symmetry is No. 123.

Unit cell a=5.1023 b=5.1023 c=3.8703 alpha=90.00 beta=90.00 gamma=90.00
Closest atoms and distances in Å follow each position.
Atoms (fractional coordinates):
Sc 0.0000 0.0000 0.0000  2 F 1.94
Ge 0.5000 0.5000 0.0000  8 Au 3.20
Au 0.0000 0.5000 0.5000  2 F 2.55
Au 0.5000 0.0000 0.5000  2 F 2.55
F 0.0000 0.0000 0.5000  2 Sc 1.94